No. 1
DyPuH2O6: optimized geometry, GGA-PBE.

```
DyPuH2O6
1.0
-4.606 -2.666 -1.097
-0.499 -3.831 -4.097
-0.383 -5.633 1.774
H Dy O Pu
2 1 6 1
Cartesian
-1.672 -8.609 -2.449
-2.477 -5.543 -2.976
-4.378 -8.409 -3.261
-2.733 -3.804 -0.978
-0.917 -6.518 -0.350
-3.514 -6.794 0.334
-2.507 -8.389 -1.988
-1.642 -5.764 -3.437
-4.743 -6.194 -2.758
-1.634 -2.344 -1.551
```

E_tot: -7.755 eV per atom
Spin magnetization: 0.1000 μB/atom

=====

No. 2
KTl2OsCl8: optimized geometry, GGA-PBE.

```
KTl2OsCl8
1.0
5.958 -1.415 0.002
-1.451 7.896 -0.006
0.003 0.015 9.074
Cl Tl K Os
8 2 1 1
Cartesian
-0.872 6.358 7.418
2.352 5.672 9.064
2.815 1.396 4.531
1.696 5.101 4.538
5.383 0.139 1.651
2.159 0.825 0.005
-0.883 6.343 1.646
5.394 0.154 7.423
2.265 3.247 6.713
2.246 3.250 2.356
0.002 0.008 4.537
0.000 0.000 0.000
```

Formation energy from raw total energies: -0.87 eV/atom
Spin magnetization: 0.2437 μB/atom

=====

No. 3
Mg5Si6: optimized geometry, GGA-PBE.

```
Mg5Si6
1.0
5.213 0.022 0.018
0.228 6.794 0.061
0.605 1.461 11.980
Mg Si
10 12
Cartesian
0.425 1.316 5.020
3.063 2.847 7.108
3.478 1.842 2.562
2.313 5.414 1.148
2.707 4.158 11.706
0.632 5.107 6.293
3.480 7.534 10.169
5.619 1.019 8.127
5.472 2.240 11.856
2.841 6.053 4.183
0.839 0.646 2.371
2.156 3.460 4.614
4.519 3.710 0.561
0.913 3.221 2.461
1.018 6.496 10.915
4.558 3.829 4.298
1.613 2.956 9.549
4.350 3.346 9.470
3.968 5.500 8.417
1.523 5.232 8.913
3.733 7.032 6.521
4.858 5.444 2.387
```

Formation energy from raw total energies: 0.13 eV/atom
Spin magnetization: 0.0000 μB/atom

=====

The lowest spin magnetization belongs to which entry? Mg5Si6